[1]
The following is a DFT calculation (GGA-PBE) of Sr2La2Co after structural relaxation.

Total moment (Bohr magnetons per cell): 0.0
DFT formation energy (eV/atom): 0.180
VASP energy (eV/atom): -3.88

Cell lengths 7.3399, 7.3399, 6.6706 Å; angles 90.00, 90.00, 90.00 degrees
Closest atoms and distances in Å follow each position.
Fractional coordinates of all 10 atoms:
Sr (0.1817, 0.3183, 0.0000)  2 La 3.65, 5 Sr 3.77-3.80
Sr (0.3183, 0.8183, 0.0000)  2 La 3.65, 5 Sr 3.77-3.80
Sr (0.6817, 0.1817, 0.0000)  2 La 3.65, 5 Sr 3.77-3.80
Sr (0.8183, 0.6817, 0.0000)  2 La 3.65, 5 Sr 3.77-3.80
La (0.1756, 0.6756, 0.5000)  2 Co 2.71
La (0.3244, 0.1756, 0.5000)  2 Co 2.71
La (0.6756, 0.8244, 0.5000)  2 Co 2.71
La (0.8244, 0.3244, 0.5000)  2 Co 2.71
Co (0.0000, 0.0000, 0.5000)  4 La 2.71
Co (0.5000, 0.5000, 0.5000)  4 La 2.71

[2]
The following is a DFT calculation (GGA-PBE) of Sr2LaCo after structural relaxation.

Total moment (Bohr magnetons per cell): 0.0
DFT formation energy (eV/atom): 0.170
VASP energy (eV/atom): -3.68
Excess energy over the best structure of this formula in the dataset (meV/atom): 73

Cell lengths 9.6511, 9.6511, 9.6511 Å; angles 158.25, 154.49, 33.76 degrees
Closest atoms and distances in Å follow each position.
Fractional coordinates of all 4 atoms:
Sr (0.1593, 0.1593, 0.0000)  2 Co 3.46, 2 La 3.63, 2 Sr 3.64
Sr (0.8407, 0.8407, 0.0000)  2 Co 3.46, 2 La 3.63, 2 Sr 3.64
La (0.5000, 0.0000, 0.5000)  4 Co 2.80
Co (0.0000, 0.5000, 0.5000)  4 La 2.80

[3]
The following is a DFT calculation (GGA-PBE) of Sr2LaCo after structural relaxation.

Total moment (Bohr magnetons per cell): 0.0
DFT formation energy (eV/atom): 0.111
VASP energy (eV/atom): -3.74
Excess energy over the best structure of this formula in the dataset (meV/atom): 14

Cell lengths 4.3584, 4.3584, 9.5166 Å; angles 103.22, 103.22, 59.29 degrees
Closest atoms and distances in Å follow each position.
Fractional coordinates of all 4 atoms:
Sr (0.0000, 0.0000, 0.0000)  3 Co 3.59-3.65, 3 La 3.72-3.73
Sr (0.1967, 0.1967, 0.6032)  3 La 3.72-3.75, 3 Co 3.84-3.91
La (0.7700, 0.7700, 0.3007)  3 Co 2.51-2.52
Co (0.4321, 0.4321, 0.2834)  3 La 2.51-2.52

[4]
The following is a DFT calculation (GGA-PBE) of SrLa2Co after structural relaxation.

Total moment (Bohr magnetons per cell): 0.0
DFT formation energy (eV/atom): 0.191
VASP energy (eV/atom): -4.47
Excess energy over the best structure of this formula in the dataset (meV/atom): 264

Cell lengths 7.9634, 7.9634, 7.9634 Å; angles 60.00, 60.00, 60.00 degrees
Closest atoms and distances in Å follow each position.
Fractional coordinates of all 8 atoms:
Sr (0.1250, 0.1250, 0.1250)  12 La 4.67, 4 Co 4.88, 4 Sr 4.88
Sr (0.8750, 0.8750, 0.8750)  12 La 4.67, 4 Sr 4.88, 4 Co 4.88
La (0.0000, 0.5000, 0.5000)  2 Co 2.44
La (0.5000, 0.0000, 0.5000)  2 Co 2.44
La (0.5000, 0.5000, 0.0000)  2 Co 2.44
La (0.5000, 0.5000, 0.5000)  2 Co 2.44
Co (0.3750, 0.3750, 0.3750)  4 La 2.44
Co (0.6250, 0.6250, 0.6250)  4 La 2.44

[5]
The following is a DFT calculation (GGA-PBE) of SrLa2Co2 after structural relaxation.

Total moment (Bohr magnetons per cell): 0.0
DFT formation energy (eV/atom): 0.199
VASP energy (eV/atom): -4.95
Excess energy over the best structure of this formula in the dataset (meV/atom): 63

Cell lengths 6.6599, 6.6599, 6.6599 Å; angles 135.85, 135.85, 64.21 degrees
Closest atoms and distances in Å follow each position.
Fractional coordinates of all 5 atoms:
Sr (0.0000, 0.0000, 0.0000)  10 La 3.68-4.05, 8 Co 3.77
La (0.3263, 0.3263, 0.0000)  4 Co 2.65
La (0.6737, 0.6737, 0.0000)  4 Co 2.65
Co (0.2500, 0.7500, 0.5000)  4 La 2.65
Co (0.7500, 0.2500, 0.5000)  4 La 2.65

[6]
The following is a DFT calculation (GGA-PBE) of Sr2LaCo after structural relaxation.

Total moment (Bohr magnetons per cell): 0.0
DFT formation energy (eV/atom): 0.097
VASP energy (eV/atom): -3.75
Excess energy over the best structure of this formula in the dataset (meV/atom): 0

Cell lengths 3.8376, 9.3790, 9.3790 Å; angles 25.50, 90.00, 90.00 degrees
Closest atoms and distances in Å follow each position.
Fractional coordinates of all 4 atoms:
Sr (0.0000, 0.0000, 0.0000)  1 Co 3.14
Sr (0.5000, 0.3174, 0.3174)  2 Co 3.29, 2 La 3.68
La (0.5000, 0.6512, 0.6512)  4 Co 2.85
Co (0.0000, 0.1715, 0.1715)  4 La 2.85, 1 Sr 3.14

[7]
The following is a DFT calculation (GGA-PBE) of SrLa2Co2 after structural relaxation.

Total moment (Bohr magnetons per cell): 0.0
DFT formation energy (eV/atom): 0.135
VASP energy (eV/atom): -5.01
Excess energy over the best structure of this formula in the dataset (meV/atom): 0

Cell lengths 8.1513, 8.1513, 3.8208 Å; angles 90.00, 90.00, 90.00 degrees
Closest atoms and distances in Å follow each position.
Fractional coordinates of all 10 atoms:
Sr (0.0000, 0.0000, 0.0000)  4 Co 3.21
Sr (0.5000, 0.5000, 0.0000)  4 Co 3.21
La (0.1461, 0.3539, 0.5000)  6 Co 2.93-3.24
La (0.3539, 0.8539, 0.5000)  6 Co 2.93-3.24
La (0.6461, 0.1461, 0.5000)  6 Co 2.93-3.24
La (0.8539, 0.6461, 0.5000)  6 Co 2.93-3.24
Co (0.1265, 0.6265, 0.0000)  1 Co 2.92, 6 La 2.93-3.24, 2 Sr 3.21
Co (0.3735, 0.1265, 0.0000)  1 Co 2.92, 6 La 2.93-3.24, 2 Sr 3.21
Co (0.6265, 0.8735, 0.0000)  1 Co 2.92, 6 La 2.93-3.24, 2 Sr 3.21
Co (0.8735, 0.3735, 0.0000)  1 Co 2.92, 6 La 2.93-3.24, 2 Sr 3.21

[8]
The following is a DFT calculation (GGA-PBE) of SrLa2Co after structural relaxation.

Total moment (Bohr magnetons per cell): 0.0
DFT formation energy (eV/atom): 0.047
VASP energy (eV/atom): -4.61
Excess energy over the best structure of this formula in the dataset (meV/atom): 119

Cell lengths 3.8944, 8.7690, 8.7690 Å; angles 27.99, 90.00, 90.00 degrees
Closest atoms and distances in Å follow each position.
Fractional coordinates of all 4 atoms:
Sr (0.0000, 0.0000, 0.0000)  2 Co 3.66, 2 La 3.74, 2 Sr 3.89
La (0.0000, 0.3190, 0.3190)  4 Co 2.88
La (0.5000, 0.6760, 0.6760)  1 Co 2.41
Co (0.5000, 0.8176, 0.8176)  1 La 2.41

[9]
The following is a DFT calculation (GGA-PBE) of SrLa2Co after structural relaxation.

Total moment (Bohr magnetons per cell): 0.0
DFT formation energy (eV/atom): 0.043
VASP energy (eV/atom): -4.62
Excess energy over the best structure of this formula in the dataset (meV/atom): 116

Cell lengths 3.6737, 3.6737, 10.2114 Å; angles 90.00, 90.00, 103.52 degrees
Closest atoms and distances in Å follow each position.
Fractional coordinates of all 4 atoms:
Sr (0.0000, 0.0000, 0.0000)  4 Sr 3.67
La (0.5000, 0.5000, 0.3436)  2 Co 2.78
La (0.5000, 0.5000, 0.6564)  2 Co 2.78
Co (0.0000, 0.0000, 0.5000)  4 La 2.78

[10]
The following is a DFT calculation (GGA-PBE) of Sr2LaCo after structural relaxation.

Total moment (Bohr magnetons per cell): 0.0
DFT formation energy (eV/atom): 0.706
VASP energy (eV/atom): -3.14
Excess energy over the best structure of this formula in the dataset (meV/atom): 610

Cell lengths 5.5958, 5.5958, 5.5958 Å; angles 60.00, 60.00, 60.00 degrees
Closest atoms and distances in Å follow each position.
Fractional coordinates of all 4 atoms:
Sr (0.2500, 0.2500, 0.2500)  4 La 3.43, 4 Co 3.43
Sr (0.7500, 0.7500, 0.7500)  4 La 3.43, 4 Co 3.43
La (0.0000, 0.0000, 0.0000)  8 Sr 3.43
Co (0.5000, 0.5000, 0.5000)  8 Sr 3.43

[11]
The following is a DFT calculation (GGA-PBE) of SrLa2Co after structural relaxation.

Total moment (Bohr magnetons per cell): 0.0
DFT formation energy (eV/atom): 0.051
VASP energy (eV/atom): -4.61
Excess energy over the best structure of this formula in the dataset (meV/atom): 123

Cell lengths 6.6477, 6.6477, 6.8797 Å; angles 120.59, 120.59, 33.48 degrees
Closest atoms and distances in Å follow each position.
Fractional coordinates of all 4 atoms:
Sr (0.0000, 0.0000, 0.0000)  1 Co 3.26
La (0.6542, 0.6542, 0.6748)  2 Co 2.64
La (0.8235, 0.8235, 0.2925)  2 Co 2.62
Co (0.2519, 0.2519, 0.9868)  4 La 2.62-2.64

[12]
The following is a DFT calculation (GGA-PBE) of SrLa2Co after structural relaxation.

Total moment (Bohr magnetons per cell): 0.0
DFT formation energy (eV/atom): 0.032
VASP energy (eV/atom): -4.63
Excess energy over the best structure of this formula in the dataset (meV/atom): 104

Cell lengths 6.6186, 6.6186, 6.6186 Å; angles 146.86, 123.44, 67.15 degrees
Closest atoms and distances in Å follow each position.
Fractional coordinates of all 4 atoms:
Sr (0.0000, 0.0000, 0.0000)  4 Co 3.66, 8 La 3.66-4.09, 2 Sr 3.77
La (0.3288, 0.8288, 0.5000)  2 Co 2.67
La (0.6712, 0.1712, 0.5000)  2 Co 2.67
Co (0.5000, 0.5000, 0.0000)  4 La 2.67

[13]
The following is a DFT calculation (GGA-PBE) of SrLa4Co2 after structural relaxation.

Total moment (Bohr magnetons per cell): 0.0
DFT formation energy (eV/atom): -0.032
VASP energy (eV/atom): -5.12

Cell lengths 10.1889, 10.1889, 6.1547 Å; angles 100.07, 100.07, 22.62 degrees
Closest atoms and distances in Å follow each position.
Fractional coordinates of all 7 atoms:
Sr (0.0000, 0.0000, 0.0000)  2 Sr 4.00, 8 La 4.08-4.25
La (0.1427, 0.1427, 0.5632)  3 Co 2.70-3.01
La (0.3135, 0.3135, 0.8882)  2 Co 2.78
La (0.6865, 0.6865, 0.1118)  2 Co 2.78
La (0.8573, 0.8573, 0.4368)  3 Co 2.70-3.01
Co (0.2658, 0.2658, 0.3444)  5 La 2.70-3.01, 2 Co 2.91
Co (0.7342, 0.7342, 0.6556)  5 La 2.70-3.01, 2 Co 2.91

[14]
The following is a DFT calculation (GGA-PBE) of SrLaCo after structural relaxation.

Total moment (Bohr magnetons per cell): 0.0
DFT formation energy (eV/atom): 0.260
VASP energy (eV/atom): -4.31
Excess energy over the best structure of this formula in the dataset (meV/atom): 281

Cell lengths 4.9841, 4.9841, 4.9841 Å; angles 60.00, 60.00, 60.00 degrees
Closest atoms and distances in Å follow each position.
Fractional coordinates of all 3 atoms:
Sr (0.0000, 0.0000, 0.0000)  4 Co 3.05
La (0.5000, 0.5000, 0.5000)  4 Co 3.05
Co (0.7500, 0.7500, 0.7500)  4 La 3.05, 4 Sr 3.05